First-principles (PBE) data for a geometry-optimized CdSnAsCl structure, as listed in Alexandria.

Calculated values
Total magnetization   0.0 μB per formula unit
VASP energy   -3.23 eV per atom
Crystal system   monoclinic
Volume   32.4 Å³ per atom
Space group   Cm

Cell lengths 4.121, 4.121, 8.808 Å; angles 90.10, 90.10, 59.99 degrees
Atoms (fractional coordinates):
Cd (0.000, 0.000, 0.000)
Sn (0.665, 0.665, 0.555)
As (0.999, 0.999, 0.707)
Cl (0.333, 0.333, 0.145)